1.
# PBEsol DyNpRu2, relaxed
data_DyNpRu2
_chemical_formula_sum 'Dy4 Np4 Ru8'
_symmetry_space_group_name_H-M 'F m -3 m'
_symmetry_Int_Tables_number 225
_symmetry_space_group_name_Hall '-F 4 2 3'
_cell_length_a 6.636
_cell_length_b 6.636
_cell_length_c 6.636
_cell_angle_alpha 90.00
_cell_angle_beta 90.00
_cell_angle_gamma 90.00
loop_
_atom_site_label
_atom_site_type_symbol
_atom_site_fract_x
_atom_site_fract_y
_atom_site_fract_z
Dy1 Dy 0.000 0.000 0.000
Np1 Np 0.000 0.000 0.500
Ru1 Ru 0.250 0.250 0.250
# DFT formation energy: -0.041 eV per atom
# Uncorrected energy: -9.83 eV/atom
# DOS at the Fermi energy: 1.0491 states/eV/atom

***

2.
# PBEsol FeSiTe2N, relaxed
data_FeSiTe2N
_chemical_formula_sum 'Fe1 Si1 Te2 N1'
_symmetry_space_group_name_H-M 'P 4/m m m'
_symmetry_Int_Tables_number 123
_symmetry_space_group_name_Hall '-P 4 2'
_cell_length_a 5.479
_cell_length_b 5.479
_cell_length_c 3.227
_cell_angle_alpha 90.00
_cell_angle_beta 90.00
_cell_angle_gamma 90.00
loop_
_atom_site_label
_atom_site_type_symbol
_atom_site_fract_x
_atom_site_fract_y
_atom_site_fract_z
Fe1 Fe 0.000 0.000 0.000
Si1 Si 0.500 0.500 0.500
Te1 Te 0.000 0.500 0.500
N1 N 0.500 0.500 0.000
# Uncorrected energy: -5.55 eV/atom
# Formation energy without anion corrections: 505 meV per atom
# DOS at the Fermi energy: 1.1409 states/eV/atom

***

3.
# PBEsol FeRe5, relaxed
data_FeRe5
_chemical_formula_sum 'Fe2 Re10'
_symmetry_space_group_name_H-M 'C 1 m 1'
_symmetry_Int_Tables_number 8
_cell_length_a 9.935
_cell_length_b 2.724
_cell_length_c 6.385
_cell_angle_alpha 90.00
_cell_angle_beta 104.62
_cell_angle_gamma 90.00
loop_
_symmetry_equiv_pos_as_xyz
'x,y,z'
'x,-y,z'
'x+1/2,y+1/2,z'
'x+1/2,-y+1/2,z'
loop_
_atom_site_label
_atom_site_type_symbol
_atom_site_fract_x
_atom_site_fract_y
_atom_site_fract_z
Fe1 Fe 0.000 0.000 0.000
Re1 Re 0.053 0.000 0.612
Re2 Re 0.163 0.500 0.324
Re3 Re 0.218 0.500 0.943
Re4 Re 0.338 0.000 0.670
Re5 Re 0.393 0.000 0.264
# DFT formation energy: 0.023 eV per atom
# Uncorrected energy: -12.58 eV/atom
# Distance to the lowest polymorph of the same formula: 0 meV/atom
# DOS at the Fermi energy: 0.8177 states/eV/atom

***

4.
# PBEsol Sr2MnZn2As2O2, relaxed
data_Sr2MnZn2As2O2
_chemical_formula_sum 'Sr4 Mn2 Zn4 As4 O4'
_symmetry_space_group_name_H-M 'I 4/m m m'
_symmetry_Int_Tables_number 139
_symmetry_space_group_name_Hall '-I 4 2'
_cell_length_a 4.078
_cell_length_b 4.078
_cell_length_c 18.420
_cell_angle_alpha 90.00
_cell_angle_beta 90.00
_cell_angle_gamma 90.00
loop_
_atom_site_label
_atom_site_type_symbol
_atom_site_fract_x
_atom_site_fract_y
_atom_site_fract_z
Sr1 Sr 0.000 0.000 0.089
Mn1 Mn 0.000 0.000 0.500
Zn1 Zn 0.000 0.500 0.250
As1 As 0.000 0.000 0.333
O1 O 0.000 0.500 0.000
# Uncorrected energy: -5.45 eV/atom
# Formation energy without anion corrections: -1304 meV per atom
# DOS at the Fermi energy: 0.2568 states/eV/atom

***

M_tot (computed, μB per atom): 0.74 0.65 0.00 0.50
Volume (computed, A^3/atom): 18.266 19.373 13.931 17.019